The following is a DFT calculation (GGA-PBE) of Cr4Ni12Ir after structural relaxation.

## Properties
- Total DFT energy (no corrections): -6.61 eV/atom
- Energy of formation from the pure elements: 0.253 eV per atom
- DOS(E_F): 30.29 states/eV/f.u.

```
Cr4Ni12Ir
1.0
-5.146 0.642 3.909
-1.875 0.694 -6.179
2.619 -5.886 0.819
Cr Ni Ir
4 12 1
Cartesian
1.310 -2.943 0.410
-2.573 0.321 1.955
-2.201 -2.275 -0.725
-0.938 0.347 -3.089
0.229 -1.599 -1.651
0.515 -3.592 -3.708
-4.858 0.925 -1.570
-2.163 0.412 -0.699
-0.778 -1.615 1.457
-1.748 -3.628 3.271
-1.077 -3.920 1.024
-3.324 -0.630 -2.475
-3.018 -2.288 1.797
-1.383 -2.262 -3.247
-4.142 -0.643 0.047
-0.259 -3.907 -1.498
0.000 0.000 0.000
```